(1)
A plane-wave DFT calculation with PBE was carried out for CuSbI2 after structural relaxation.

Results
* DOS(E_F): 0.56 states/eV/atom
* formation energy from raw total energies: 0.55 eV/atom
* offset from the most stable computed form: 0.270 eV/atom
* VASP energy: -2.28 eV per atom

Geometry as CIF:
```
data_CuSbI2
_space_group_name_H-M_alt 'F m -3 m'
_space_group_IT_number 225
_space_group_name_Hall '-F 4 2 3'
_cell_length_a 7.597
_cell_length_b 7.597
_cell_length_c 7.597
_cell_angle_alpha 90.00
_cell_angle_beta 90.00
_cell_angle_gamma 90.00
loop_
_atom_site_label
_atom_site_type_symbol
_atom_site_fract_x
_atom_site_fract_y
_atom_site_fract_z
Cu1 Cu 0.000 0.000 0.000
Sb1 Sb 0.000 0.000 0.500
I1 I 0.250 0.250 0.250
```



(2)
A plane-wave DFT calculation with PBE was carried out for Cu2SbI after structural relaxation.

Results
* DOS(E_F): 0.77 states/eV/atom
* formation energy from raw total energies: 0.66 eV/atom
* offset from the most stable computed form: 0.499 eV/atom
* VASP energy: -2.81 eV per atom

Geometry as CIF:
```
data_Cu2SbI
_space_group_name_H-M_alt 'F m -3 m'
_space_group_IT_number 225
_space_group_name_Hall '-F 4 2 3'
_cell_length_a 6.925
_cell_length_b 6.925
_cell_length_c 6.925
_cell_angle_alpha 90.00
_cell_angle_beta 90.00
_cell_angle_gamma 90.00
loop_
_atom_site_label
_atom_site_type_symbol
_atom_site_fract_x
_atom_site_fract_y
_atom_site_fract_z
Cu1 Cu 0.250 0.250 0.250
Sb1 Sb 0.000 0.000 0.000
I1 I 0.000 0.000 0.500
```



(3)
A plane-wave DFT calculation with PBE was carried out for CuSb2I8 after structural relaxation.

Results
* DOS(E_F): 0.25 states/eV/atom
* formation energy from raw total energies: -0.17 eV/atom
* VASP energy: -2.42 eV per atom

Geometry as CIF:
```
data_CuSb2I8
_space_group_name_H-M_alt 'C 1 2/m 1'
_space_group_IT_number 12
_space_group_name_Hall '-C 2y'
_cell_length_a 14.149
_cell_length_b 7.425
_cell_length_c 11.823
_cell_angle_alpha 90.00
_cell_angle_beta 117.51
_cell_angle_gamma 90.00
loop_
_atom_site_label
_atom_site_type_symbol
_atom_site_fract_x
_atom_site_fract_y
_atom_site_fract_z
Cu1 Cu 0.000 0.000 0.000
Sb1 Sb 0.105 0.000 0.399
I1 I 0.055 0.247 0.176
I2 I 0.134 0.000 0.677
I3 I 0.161 0.500 0.512
```



(4)
A plane-wave DFT calculation with PBE was carried out for CuSb2SeI after structural relaxation.

Results
* DOS(E_F): 0.61 states/eV/atom
* formation energy from raw total energies: 0.51 eV/atom
* offset from the most stable computed form: 0.000 eV/atom
* VASP energy: -2.97 eV per atom

Geometry as CIF:
```
data_CuSb2SeI
_space_group_name_H-M_alt 'P 4/m m m'
_space_group_IT_number 123
_space_group_name_Hall '-P 4 2'
_cell_length_a 5.227
_cell_length_b 5.227
_cell_length_c 5.028
_cell_angle_alpha 90.00
_cell_angle_beta 90.00
_cell_angle_gamma 90.00
loop_
_atom_site_label
_atom_site_type_symbol
_atom_site_fract_x
_atom_site_fract_y
_atom_site_fract_z
Cu1 Cu 0.000 0.000 0.000
Sb1 Sb 0.000 0.500 0.000
Se1 Se 0.500 0.500 0.500
I1 I 0.000 0.000 0.500
```



(5)
A plane-wave DFT calculation with PBE was carried out for CuSbSeI2 after structural relaxation.

Results
* DOS(E_F): 1.28 states/eV/atom
* formation energy from raw total energies: 0.83 eV/atom
* offset from the most stable computed form: 0.327 eV/atom
* VASP energy: -2.13 eV per atom

Geometry as CIF:
```
data_CuSbSeI2
_space_group_name_H-M_alt 'P 4/m m m'
_space_group_IT_number 123
_space_group_name_Hall '-P 4 2'
_cell_length_a 5.834
_cell_length_b 5.834
_cell_length_c 5.485
_cell_angle_alpha 90.00
_cell_angle_beta 90.00
_cell_angle_gamma 90.00
loop_
_atom_site_label
_atom_site_type_symbol
_atom_site_fract_x
_atom_site_fract_y
_atom_site_fract_z
Cu1 Cu 0.000 0.000 0.000
Sb1 Sb 0.500 0.500 0.000
Se1 Se 0.500 0.500 0.500
I1 I 0.000 0.500 0.500
```



(6)
A plane-wave DFT calculation with PBE was carried out for CuSb2SeI after structural relaxation.

Results
* DOS(E_F): 1.09 states/eV/atom
* formation energy from raw total energies: 0.96 eV/atom
* offset from the most stable computed form: 0.448 eV/atom
* VASP energy: -2.52 eV per atom

Geometry as CIF:
```
data_CuSb2SeI
_space_group_name_H-M_alt 'P 4/m m m'
_space_group_IT_number 123
_space_group_name_Hall '-P 4 2'
_cell_length_a 5.432
_cell_length_b 5.432
_cell_length_c 5.790
_cell_angle_alpha 90.00
_cell_angle_beta 90.00
_cell_angle_gamma 90.00
loop_
_atom_site_label
_atom_site_type_symbol
_atom_site_fract_x
_atom_site_fract_y
_atom_site_fract_z
Cu1 Cu 0.000 0.000 0.000
Sb1 Sb 0.000 0.500 0.500
Se1 Se 0.500 0.500 0.500
I1 I 0.500 0.500 0.000
```



(7)
A plane-wave DFT calculation with PBE was carried out for CuSbSe2I after structural relaxation.

Results
* DOS(E_F): 0.31 states/eV/atom
* formation energy from raw total energies: -0.15 eV/atom
* VASP energy: -3.50 eV per atom

Geometry as CIF:
```
data_CuSbSe2I
_space_group_name_H-M_alt 'P 1 21/m 1'
_space_group_IT_number 11
_space_group_name_Hall '-P 2yb'
_cell_length_a 7.893
_cell_length_b 5.310
_cell_length_c 8.274
_cell_angle_alpha 90.00
_cell_angle_beta 116.80
_cell_angle_gamma 90.00
loop_
_atom_site_label
_atom_site_type_symbol
_atom_site_fract_x
_atom_site_fract_y
_atom_site_fract_z
Cu1 Cu 0.060 0.250 0.393
Sb1 Sb 0.450 0.750 0.691
Se1 Se 0.110 0.750 0.409
Se2 Se 0.393 0.250 0.559
I1 I 0.230 0.750 0.933
```



(8)
A plane-wave DFT calculation with PBE was carried out for CuSbSeI2 after structural relaxation.

Results
* DOS(E_F): 1.27 states/eV/atom
* formation energy from raw total energies: 0.51 eV/atom
* offset from the most stable computed form: 0.000 eV/atom
* VASP energy: -2.45 eV per atom

Geometry as CIF:
```
data_CuSbSeI2
_space_group_name_H-M_alt 'P 4/m m m'
_space_group_IT_number 123
_space_group_name_Hall '-P 4 2'
_cell_length_a 5.133
_cell_length_b 5.133
_cell_length_c 5.507
_cell_angle_alpha 90.00
_cell_angle_beta 90.00
_cell_angle_gamma 90.00
loop_
_atom_site_label
_atom_site_type_symbol
_atom_site_fract_x
_atom_site_fract_y
_atom_site_fract_z
Cu1 Cu 0.000 0.000 0.000
Sb1 Sb 0.000 0.000 0.500
Se1 Se 0.500 0.500 0.500
I1 I 0.000 0.500 0.000
```